Below is crystalline Ac2Pr2Y3 at its relaxed geometry, with properties calculated at the PBE level.

The calculation puts the density of states at the Fermi level at 22.53 states/eV/cell. The value obtained for the final energy is -72.21 eV/cell.

It has space group Cmmm (No. 65), with a = 5.8705 Å, b = 24.5498 Å, c = 3.6008 Å, α = 90.00°, β = 90.00° and γ = 90.00°. Symmetry generates all atoms from Ac at (0.0000, 0.0770, 0.0000), Pr at (0.0000, 0.3500, 0.5000), Y at (0.0000, 0.2175, 0.0000) and Y at (0.0000, 0.5000, 0.0000).

Below is crystalline Ac2PrY at its relaxed geometry, with properties calculated at the PBE level.

The calculation puts the density of states at the Fermi level at 32.27 states/eV/cell. The value obtained for the final energy is -76.25 eV/cell. For the excess energy over the best structure of this formula in the dataset, the calculation gives 72 meV per atom.

It has space group Fm-3m (No. 225), with a = 8.5804 Å, b = 8.5804 Å, c = 8.5804 Å, α = 90.00°, β = 90.00° and γ = 90.00°. Symmetry generates all atoms from Ac at (0.2500, 0.2500, 0.2500), Pr at (0.0000, 0.0000, 0.0000) and Y at (0.0000, 0.0000, 0.5000).

Below is crystalline AcPrY2 at its relaxed geometry, with properties calculated at the PBE level.

The calculation puts the density of states at the Fermi level at 6.65 states/eV/cell. The value obtained for the final energy is -21.66 eV/cell. For the excess energy over the best structure of this formula in the dataset, the calculation gives 9 meV per atom.

It has space group P4/mmm (No. 123), with a = 3.7912 Å, b = 3.7912 Å, c = 10.0465 Å, α = 90.00°, β = 90.00° and γ = 90.00°. Symmetry generates all atoms from Ac at (0.0000, 0.0000, 0.0000), Pr at (0.0000, 0.0000, 0.5000) and Y at (0.5000, 0.5000, 0.2590).

Below is crystalline Ac8PrY2 at its relaxed geometry, with properties calculated at the PBE level.

The calculation puts the density of states at the Fermi level at 33.87 states/eV/cell. The value obtained for the final energy is -93.22 eV/cell.

It has space group C2/m (No. 12), with a = 13.5070 Å, b = 12.3451 Å, c = 6.2354 Å, α = 90.00°, β = 103.10° and γ = 90.00°. Symmetry generates all atoms from Ac at (0.0790, 0.0000, 0.2932), Ac at (0.1104, 0.2466, 0.8112), Ac at (0.1433, 0.5000, 0.5085), Pr at (0.0000, 0.5000, 0.0000) and Y at (0.2365, 0.0000, 0.9166).